No. 1
YTaSb4 | PBE | optimized geometry

Calculated values
- Magnetic moment: 0.0014 μB per atom
- Uncorrected energy: -31.5 eV per cell

The structure in POSCAR format:
```
YTaSb4
1.0
0.000 4.308 4.308
4.308 0.000 4.308
4.308 4.308 0.000
Y Ta Sb
1 1 4
direct
0.000 0.000 0.000
0.250 0.250 0.250
0.127 0.624 0.624
0.624 0.127 0.624
0.624 0.624 0.127
0.624 0.624 0.624
```



No. 2
Tb2Nd7Sm3 | PBE | optimized geometry

Calculated values
- Excess energy over the best structure of this formula in the dataset: 0 meV/atom
- Magnetic moment: 0.0000 μB per atom
- Uncorrected energy: -55.9 eV per cell

The structure in POSCAR format:
```
Tb2Nd7Sm3
1.0
6.514 0.000 0.000
0.000 3.592 0.000
-1.865 0.000 17.723
Tb Nd Sm
2 7 3
direct
0.057 0.000 0.170
0.943 0.000 0.830
0.000 0.500 0.500
0.224 0.000 0.670
0.256 0.000 0.996
0.273 0.500 0.332
0.727 0.500 0.668
0.744 0.000 0.004
0.776 0.000 0.330
0.453 0.500 0.839
0.500 0.000 0.500
0.547 0.500 0.161
```



No. 3
MnCr2GeC | PBE | optimized geometry

Calculated values
- Magnetic moment: 0.2501 μB per atom
- Uncorrected energy: -42.2 eV per cell

The structure in POSCAR format:
```
MnCr2GeC
1.0
3.868 0.000 0.000
0.000 3.868 0.000
0.000 0.000 3.839
Mn Cr Ge C
1 2 1 1
direct
0.000 0.000 0.000
0.000 0.500 0.500
0.500 0.000 0.500
0.500 0.500 0.000
0.000 0.000 0.500
```



No. 4
Nd2SmPO8 | PBE | optimized geometry

Calculated values
- Magnetic moment: 0.1681 μB per atom
- Uncorrected energy: -88.1 eV per cell

The structure in POSCAR format:
```
Nd2SmPO8
1.0
5.228 0.000 0.000
-2.614 4.527 0.000
0.000 0.000 6.376
Nd Sm P O
2 1 1 8
direct
0.333 0.667 0.362
0.667 0.333 0.638
0.000 0.000 0.000
0.000 0.000 0.500
0.153 0.305 0.659
0.153 0.847 0.659
0.305 0.153 0.341
0.333 0.667 0.025
0.667 0.333 0.975
0.695 0.847 0.659
0.847 0.153 0.341
0.847 0.695 0.341
```



No. 5
Hf3SnOs | PBE | optimized geometry

Calculated values
- Excess energy over the best structure of this formula in the dataset: 0 meV/atom
- Magnetic moment: 0.0000 μB per atom
- Uncorrected energy: -44.0 eV per cell

The structure in POSCAR format:
```
Hf3SnOs
1.0
5.016 0.000 0.000
0.000 5.016 0.000
0.000 0.000 5.016
Hf Sn Os
3 1 1
direct
0.000 0.000 0.500
0.000 0.500 0.000
0.500 0.000 0.000
0.500 0.500 0.500
0.000 0.000 0.000
```



No. 6
Li2ZrBi2 | PBE | optimized geometry

Calculated values
- Excess energy over the best structure of this formula in the dataset: 0 meV/atom
- Magnetic moment: 0.0000 μB per atom
- Uncorrected energy: -21.4 eV per cell

The structure in POSCAR format:
```
Li2ZrBi2
1.0
-1.905 1.905 7.839
1.905 -1.905 7.839
1.905 1.905 -7.839
Li Zr Bi
2 1 2
direct
0.250 0.750 0.500
0.750 0.250 0.500
0.000 0.000 0.000
0.390 0.390 0.000
0.610 0.610 0.000
```